DFT (PBE-GGA) results for an optimized crystal structure of Ba6Cd2Ga.

It has space group Fmmm (No. 69), with a = 6.033 Å, b = 15.178 Å, c = 18.083 Å, α = 90.00°, β = 90.00° and γ = 90.00°. The distinct sites, in fractional coordinates, are Ba at (0.000, 0.127, 0.000), Ba at (0.000, 0.131, 0.338), Cd at (0.000, 0.000, 0.170) and Ga at (0.000, 0.000, 0.500).

For the energy above the most stable polymorph in this dataset, the calculation gives 0.00 eV/f.u. For the mass density, the calculation gives 4487 kg/m3. The formation energy is -0.245 eV/atom.